Record 1
Material: ScZn2NiMo
Method: DFT, PBE
State: optimized geometry Values from VASP.

The space-group type is P4/mmm, No. 123. The calculation puts the energy of formation at 0.69 eV/atom.

The structure in Quantum ESPRESSO input format:
```
&SYSTEM
  ibrav = 0, nat = 5, ntyp = 4
/
ATOMIC_SPECIES
Sc 44.96 Sc.upf
Zn 65.41 Zn.upf
Ni 58.69 Ni.upf
Mo 95.94 Mo.upf
CELL_PARAMETERS angstrom
4.819 0.000 0.000
0.000 4.819 0.000
0.000 0.000 4.401
ATOMIC_POSITIONS crystal
Sc 0.000 0.000 0.000
Zn 0.000 0.500 0.500
Zn 0.500 0.000 0.500
Ni 0.500 0.500 0.000
Mo 0.500 0.500 0.500
```



Record 2
Material: NdErPb
Method: DFT, PBE
State: optimized geometry Values from VASP.

The space-group type is P4/nmm, No. 129. The energy relative to the lowest polymorph listed for this composition comes out at 0 meV per atom. The calculation puts the energy of formation at -0.44 eV/atom.

The structure in Quantum ESPRESSO input format:
```
&SYSTEM
  ibrav = 0, nat = 6, ntyp = 3
/
ATOMIC_SPECIES
Nd 144.24 Nd.upf
Er 167.26 Er.upf
Pb 207.20 Pb.upf
CELL_PARAMETERS angstrom
4.633 0.000 0.000
0.000 4.633 0.000
0.000 0.000 8.741
ATOMIC_POSITIONS crystal
Nd 0.250 0.250 0.156
Nd 0.750 0.750 0.844
Er 0.250 0.750 0.500
Er 0.750 0.250 0.500
Pb 0.250 0.250 0.775
Pb 0.750 0.750 0.225
```



Record 3
Material: TaZn2Fe2
Method: DFT, PBE
State: optimized geometry Values from VASP.

The space-group type is P4/mbm, No. 127. The energy relative to the lowest polymorph listed for this composition comes out at 0 meV per atom. The calculation puts the energy of formation at 0.14 eV/atom.

The structure in Quantum ESPRESSO input format:
```
&SYSTEM
  ibrav = 0, nat = 10, ntyp = 3
/
ATOMIC_SPECIES
Ta 180.95 Ta.upf
Zn 65.41 Zn.upf
Fe 55.84 Fe.upf
CELL_PARAMETERS angstrom
7.121 0.000 0.000
0.000 7.121 0.000
0.000 0.000 2.712
ATOMIC_POSITIONS crystal
Ta 0.000 0.000 0.000
Ta 0.500 0.500 0.000
Zn 0.121 0.379 0.000
Zn 0.379 0.879 0.000
Zn 0.621 0.121 0.000
Zn 0.879 0.621 0.000
Fe 0.178 0.678 0.500
Fe 0.322 0.178 0.500
Fe 0.678 0.822 0.500
Fe 0.822 0.322 0.500
```



Record 4
Material: TbErGa2
Method: DFT, PBE
State: optimized geometry Values from VASP.

The space-group type is R-3m, No. 166. The calculation puts the energy of formation at -0.42 eV/atom.

The structure in Quantum ESPRESSO input format:
```
&SYSTEM
  ibrav = 0, nat = 4, ntyp = 3
/
ATOMIC_SPECIES
Tb 158.93 Tb.upf
Er 167.26 Er.upf
Ga 69.72 Ga.upf
CELL_PARAMETERS angstrom
1.818 1.050 8.681
-1.818 1.050 8.681
0.000 -2.099 8.681
ATOMIC_POSITIONS crystal
Tb 0.000 0.000 0.000
Er 0.500 0.500 0.500
Ga 0.249 0.249 0.249
Ga 0.751 0.751 0.751
```



Record 5
Material: ZrNi2Cl2
Method: DFT, PBE
State: optimized geometry Values from VASP.

The space-group type is P4/mbm, No. 127. Its energy relative to the elements, uncorrected is 0.0570 eV per atom. The energy relative to the lowest polymorph listed for this composition comes out at 239 meV per atom.

The structure in Quantum ESPRESSO input format:
```
&SYSTEM
  ibrav = 0, nat = 10, ntyp = 3
/
ATOMIC_SPECIES
Zr 91.22 Zr.upf
Ni 58.69 Ni.upf
Cl 35.45 Cl.upf
CELL_PARAMETERS angstrom
6.923 0.000 0.000
0.000 6.923 0.000
0.000 0.000 3.166
ATOMIC_POSITIONS crystal
Zr 0.000 0.000 0.000
Zr 0.500 0.500 0.000
Ni 0.144 0.356 0.500
Ni 0.356 0.856 0.500
Ni 0.644 0.144 0.500
Ni 0.856 0.644 0.500
Cl 0.165 0.665 0.000
Cl 0.335 0.165 0.000
Cl 0.665 0.835 0.000
Cl 0.835 0.335 0.000
```



Record 6
Material: LiPb
Method: DFT, PBE
State: optimized geometry Values from VASP.

The space-group type is P6_3/m, No. 176. The calculation puts the energy of formation at -0.13 eV/atom.

The structure in Quantum ESPRESSO input format:
```
&SYSTEM
  ibrav = 0, nat = 12, ntyp = 2
/
ATOMIC_SPECIES
Li 6.94 Li.upf
Pb 207.20 Pb.upf
CELL_PARAMETERS angstrom
8.252 0.000 0.000
-4.126 7.147 0.000
0.000 0.000 5.154
ATOMIC_POSITIONS crystal
Li 0.036 0.794 0.250
Li 0.206 0.242 0.250
Li 0.242 0.036 0.750
Li 0.758 0.964 0.250
Li 0.794 0.758 0.750
Li 0.964 0.206 0.750
Pb 0.087 0.633 0.750
Pb 0.367 0.454 0.750
Pb 0.454 0.087 0.250
Pb 0.546 0.913 0.750
Pb 0.633 0.546 0.250
Pb 0.913 0.367 0.250
```